[1]
# MgPtPbAu (PBE, relaxed)
data_MgPtPbAu
_space_group_name_H-M_alt 'F -4 3 m'
_space_group_IT_number 216
_space_group_name_Hall 'F -4 2 3'
_cell_length_a 6.829
_cell_length_b 6.829
_cell_length_c 6.829
_cell_angle_alpha 90.00
_cell_angle_beta 90.00
_cell_angle_gamma 90.00
loop_
_atom_site_label
_atom_site_type_symbol
_atom_site_fract_x
_atom_site_fract_y
_atom_site_fract_z
_atom_site_occupancy
Mg1 Mg 0.000 0.000 0.000 1
Pt1 Pt 0.250 0.250 0.250 1
Pb1 Pb 0.000 0.000 0.500 1
Au1 Au 0.250 0.250 0.750 1
# DFT formation energy = -0.32 eV/atom
# DFT total energy = -3.97 eV per atom


[2]
# CaTb2Se (PBE, relaxed)
data_CaTb2Se
_space_group_name_H-M_alt 'R -3 m'
_space_group_IT_number 166
_space_group_name_Hall '-R 3 2"'
_cell_length_a 3.8195
_cell_length_b 3.8195
_cell_length_c 31.2397
_cell_angle_alpha 90.00
_cell_angle_beta 90.00
_cell_angle_gamma 120.00
loop_
_atom_site_label
_atom_site_type_symbol
_atom_site_fract_x
_atom_site_fract_y
_atom_site_fract_z
_atom_site_occupancy
Ca1 Ca 0.0000 0.0000 0.0000 1
Tb1 Tb 0.0000 0.0000 0.1104 1
Se1 Se 0.0000 0.0000 0.5000 1
# raw formation energy = -0.6374 eV per atom
# DFT total energy = -4.32 eV per atom


[3]
# LaTb2Pr7 (PBE, relaxed)
data_LaTb2Pr7
_space_group_name_H-M_alt 'P -1'
_space_group_IT_number 2
_cell_length_a 6.376
_cell_length_b 6.406
_cell_length_c 9.762
_cell_angle_alpha 109.09
_cell_angle_beta 102.56
_cell_angle_gamma 99.52
loop_
_space_group_symop_operation_xyz
'x,y,z'
'-x,-y,-z'
loop_
_atom_site_label
_atom_site_type_symbol
_atom_site_fract_x
_atom_site_fract_y
_atom_site_fract_z
_atom_site_occupancy
La1 La 0.000 0.000 0.000 1
Tb1 Tb 0.001 0.201 0.402 1
Pr1 Pr 0.002 0.601 0.204 1
Pr2 Pr 0.497 0.601 0.698 1
Pr3 Pr 0.498 0.200 0.898 1
Pr4 Pr 0.500 0.000 0.500 1
# DFT formation energy = 0.02 eV/atom
# DFT total energy = -4.75 eV per atom


[4]
# Sm6DyHo2Sc3 (PBE, relaxed)
data_Sm6DyHo2Sc3
_space_group_name_H-M_alt 'C 1 2/m 1'
_space_group_IT_number 12
_cell_length_a 6.116
_cell_length_b 10.588
_cell_length_c 11.481
_cell_angle_alpha 90.00
_cell_angle_beta 100.20
_cell_angle_gamma 90.00
loop_
_space_group_symop_operation_xyz
'x,y,z'
'-x,-y,-z'
'-x,y,-z'
'x,-y,z'
'x+1/2,y+1/2,z'
'-x+1/2,-y+1/2,-z'
'-x+1/2,y+1/2,-z'
'x+1/2,-y+1/2,z'
loop_
_atom_site_label
_atom_site_type_symbol
_atom_site_fract_x
_atom_site_fract_y
_atom_site_fract_z
_atom_site_occupancy
Sm1 Sm 0.247 0.000 0.241 1
Sm2 Sm 0.247 0.333 0.242 1
Dy1 Dy 0.000 0.000 0.500 1
Ho1 Ho 0.000 0.333 0.500 1
Sc1 Sc 0.000 0.167 0.000 1
Sc2 Sc 0.000 0.500 0.000 1
# DFT formation energy = 0.04 eV/atom
# DFT total energy = -5.05 eV per atom


[5]
# RbLaSiTe (PBE, relaxed)
data_RbLaSiTe
_space_group_name_H-M_alt 'P 1 m 1'
_space_group_IT_number 6
_cell_length_a 4.341
_cell_length_b 4.130
_cell_length_c 8.223
_cell_angle_alpha 90.00
_cell_angle_beta 104.61
_cell_angle_gamma 90.00
loop_
_space_group_symop_operation_xyz
'x,y,z'
'x,-y,z'
loop_
_atom_site_label
_atom_site_type_symbol
_atom_site_fract_x
_atom_site_fract_y
_atom_site_fract_z
_atom_site_occupancy
Rb1 Rb 0.000 0.000 0.000 1
La1 La 0.250 0.000 0.525 1
Si1 Si 0.801 0.500 0.633 1
Te1 Te 0.641 0.500 0.296 1
# raw formation energy = -0.6293 eV per atom
# DFT total energy = -4.24 eV per atom


[6]
# TlAsPb2Au (PBE, relaxed)
data_TlAsPb2Au
_space_group_name_H-M_alt 'P 4/m m m'
_space_group_IT_number 123
_space_group_name_Hall '-P 4 2'
_cell_length_a 5.953
_cell_length_b 5.953
_cell_length_c 5.110
_cell_angle_alpha 90.00
_cell_angle_beta 90.00
_cell_angle_gamma 90.00
loop_
_atom_site_label
_atom_site_type_symbol
_atom_site_fract_x
_atom_site_fract_y
_atom_site_fract_z
_atom_site_occupancy
Tl1 Tl 0.000 0.000 0.000 1
As1 As 0.000 0.000 0.500 1
Pb1 Pb 0.000 0.500 0.000 1
Au1 Au 0.500 0.500 0.500 1
# DFT formation energy = 0.83 eV/atom
# DFT total energy = -2.72 eV per atom


Question: What is the formula in the sixth record?
Answer: TlAsPb2Au